[1]
This record from the Alexandria database describes crystalline ZnCu2Te at its relaxed geometry. The functional is PBE.

Calculated values
E above lowest polymorph: 132.2 meV/atom
Spin magnetization: 0.0 μB/cell
Formation energy from raw total energies: 217 meV/atom

abc: 5.123 5.123 5.123
angles: 134.53 134.53 66.26
Sites, in units of the cell vectors:
Zn 0.000 0.000 0.000
Cu 0.250 0.750 0.500
Cu 0.500 0.500 0.000
Te 0.750 0.250 0.500



[2]
This record from the Alexandria database describes crystalline AlTc2Se at its relaxed geometry. The functional is PBE.

Calculated values
E above lowest polymorph: 155.6 meV/atom
Spin magnetization: 0.0 μB/cell
Formation energy from raw total energies: 73 meV/atom

abc: 8.198 8.198 8.198
angles: 20.82 20.82 20.82
Sites, in units of the cell vectors:
Al 0.000 0.000 0.000
Tc 0.246 0.246 0.246
Tc 0.754 0.754 0.754
Se 0.500 0.500 0.500



[3]
This record from the Alexandria database describes crystalline Mg2ScAu8 at its relaxed geometry. The functional is PBE.

Calculated values
E above lowest polymorph: 0.0 meV/atom
Spin magnetization: 0.0 μB/cell
Energy relative to the elements: -0.491 eV per atom

abc: 7.741 7.741 6.670
angles: 106.30 106.30 31.29
Sites, in units of the cell vectors:
Mg 0.222 0.222 0.155
Mg 0.778 0.778 0.845
Sc 0.500 0.500 0.500
Au 0.041 0.041 0.229
Au 0.141 0.141 0.692
Au 0.321 0.321 0.592
Au 0.398 0.398 0.047
Au 0.602 0.602 0.953
Au 0.679 0.679 0.408
Au 0.859 0.859 0.308
Au 0.959 0.959 0.771



[4]
This record from the Alexandria database describes crystalline Ca2Dy at its relaxed geometry. The functional is PBE.

Calculated values
E above lowest polymorph: 16.1 meV/atom
Spin magnetization: 0.0 μB/cell
Energy relative to the elements: 0.136 eV per atom

abc: 5.988 5.988 3.556
angles: 90.00 90.00 120.00
Sites, in units of the cell vectors:
Ca 0.333 0.667 0.350
Ca 0.667 0.333 0.650
Dy 0.000 0.000 0.000



[5]
This record from the Alexandria database describes crystalline HPb2Au2 at its relaxed geometry. The functional is PBE.

Calculated values
E above lowest polymorph: 0.0 meV/atom
Spin magnetization: 0.0 μB/cell

abc: 7.101 7.101 4.501
angles: 90.00 90.00 90.00
Sites, in units of the cell vectors:
H 0.000 0.000 0.000
H 0.500 0.500 0.000
Pb 0.181 0.319 0.000
Pb 0.319 0.819 0.000
Pb 0.681 0.181 0.000
Pb 0.819 0.681 0.000
Au 0.138 0.638 0.500
Au 0.362 0.138 0.500
Au 0.638 0.862 0.500
Au 0.862 0.362 0.500



[6]
This record from the Alexandria database describes crystalline Cu2NiPt8 at its relaxed geometry. The functional is PBE.

Calculated values
E above lowest polymorph: 263.6 meV/atom
Spin magnetization: 0.0 μB/cell
Energy relative to the elements: 0.176 eV per atom

abc: 6.736 6.736 4.598
angles: 103.49 103.49 61.29
Sites, in units of the cell vectors:
Cu 0.118 0.118 0.000
Cu 0.882 0.882 0.000
Ni 0.000 0.000 0.500
Pt 0.222 0.222 0.558
Pt 0.228 0.630 0.703
Pt 0.354 0.354 0.149
Pt 0.370 0.772 0.297
Pt 0.630 0.228 0.703
Pt 0.646 0.646 0.851
Pt 0.772 0.370 0.297
Pt 0.778 0.778 0.442



[7]
This record from the Alexandria database describes crystalline CePrY at its relaxed geometry. The functional is PBE.

Calculated values
E above lowest polymorph: 2.8 meV/atom
Spin magnetization: 0.3 μB/cell
Energy relative to the elements: 0.081 eV per atom

abc: 7.975 7.975 7.975
angles: 154.04 154.04 37.04
Sites, in units of the cell vectors:
Ce 0.000 0.000 0.000
Pr 0.339 0.339 0.000
Y 0.658 0.658 0.000



[8]
This record from the Alexandria database describes crystalline K3AlIn at its relaxed geometry. The functional is PBE.

Calculated values
E above lowest polymorph: 0.0 meV/atom
Spin magnetization: 0.6 μB/cell
Energy relative to the elements: 0.482 eV per atom

abc: 6.592 6.592 6.592
angles: 90.00 90.00 90.00
Sites, in units of the cell vectors:
K 0.000 0.000 0.500
K 0.000 0.500 0.000
K 0.500 0.000 0.000
Al 0.000 0.000 0.000
In 0.500 0.500 0.500



[9]
This record from the Alexandria database describes crystalline IrRuSe2N at its relaxed geometry. The functional is PBE.

Calculated values
E above lowest polymorph: 257.4 meV/atom
Spin magnetization: 1.0 μB/cell
Formation energy from raw total energies: 1146 meV/atom

abc: 4.609 4.609 3.758
angles: 90.00 90.00 90.00
Sites, in units of the cell vectors:
Ir 0.000 0.000 0.000
Ru 0.500 0.500 0.000
Se 0.000 0.500 0.500
Se 0.500 0.000 0.500
N 0.000 0.000 0.500



[10]
This record from the Alexandria database describes crystalline Tb12Ho2Mg at its relaxed geometry. The functional is PBE.

Calculated values
Spin magnetization: 0.0 μB/cell
Energy relative to the elements: 0.333 eV per atom

abc: 6.498 6.498 23.838
angles: 90.00 90.00 90.00
Sites, in units of the cell vectors:
Tb 0.007 0.507 0.101
Tb 0.007 0.993 0.899
Tb 0.082 0.582 0.564
Tb 0.082 0.918 0.436
Tb 0.250 0.250 0.203
Tb 0.250 0.250 0.329
Tb 0.250 0.250 0.671
Tb 0.250 0.250 0.797
Tb 0.418 0.582 0.436
Tb 0.418 0.918 0.564
Tb 0.493 0.507 0.899
Tb 0.493 0.993 0.101
Tb 0.507 0.007 0.899
Tb 0.507 0.493 0.101
Tb 0.582 0.082 0.436
Tb 0.582 0.418 0.564
Tb 0.750 0.750 0.203
Tb 0.750 0.750 0.329
Tb 0.750 0.750 0.671
Tb 0.750 0.750 0.797
Tb 0.918 0.082 0.564
Tb 0.918 0.418 0.436
Tb 0.993 0.007 0.101
Tb 0.993 0.493 0.899
Ho 0.250 0.750 0.245
Ho 0.250 0.750 0.755
Ho 0.750 0.250 0.245
Ho 0.750 0.250 0.755
Mg 0.250 0.750 0.000
Mg 0.750 0.250 0.000



[11]
This record from the Alexandria database describes crystalline AlFe2I8 at its relaxed geometry. The functional is PBE.

Calculated values
Spin magnetization: 9.0 μB/cell
Formation energy from raw total energies: -257 meV/atom

abc: 8.768 8.768 7.442
angles: 94.83 94.83 67.49
Sites, in units of the cell vectors:
Al 0.000 0.000 0.000
Fe 0.193 0.193 0.176
Fe 0.807 0.807 0.824
I 0.122 0.720 0.765
I 0.163 0.163 0.823
I 0.280 0.878 0.235
I 0.351 0.351 0.334
I 0.649 0.649 0.666
I 0.720 0.122 0.765
I 0.837 0.837 0.177
I 0.878 0.280 0.235



[12]
This record from the Alexandria database describes crystalline Tl13Hg2 at its relaxed geometry. The functional is PBE.

Calculated values
E above lowest polymorph: 0.0 meV/atom
Spin magnetization: 0.0 μB/cell
Energy relative to the elements: 0.005 eV per atom

abc: 6.571 8.579 8.888
angles: 68.69 82.33 83.27
Sites, in units of the cell vectors:
Tl 0.000 0.000 0.000
Tl 0.099 0.759 0.431
Tl 0.202 0.192 0.209
Tl 0.278 0.616 0.972
Tl 0.304 0.963 0.641
Tl 0.404 0.397 0.401
Tl 0.490 0.179 0.839
Tl 0.510 0.821 0.161
Tl 0.596 0.603 0.599
Tl 0.696 0.037 0.359
Tl 0.722 0.384 0.028
Tl 0.798 0.808 0.791
Tl 0.901 0.241 0.569
Hg 0.101 0.437 0.757
Hg 0.899 0.563 0.243